A relaxed structure of BaZrSnHg2. Source: Alexandria via LeMat-Bulk, functional PBE.

Results
Its space group is P4/mmm (123). Its energy of formation is 0.291 eV/atom.

Structure (POSCAR):
```
BaZrSnHg2
1.0
5.627 0.000 0.000
0.000 5.627 0.000
0.000 0.000 5.585
Ba Zr Sn Hg
1 1 1 2
Direct
0.000 0.000 0.000 Ba
0.500 0.500 0.000 Zr
0.500 0.500 0.500 Sn
0.000 0.500 0.500 Hg
0.500 0.000 0.500 Hg
```